The following is a GGA-PBE calculation of a relaxed structure of GeAs2I, from Alexandria via LeMat-Bulk.

Calculated values
calculated total energy = -3.21 eV/atom
V = 22.37 A^3/atom
M_tot = 0.00 μB per formula unit
energy relative to the lowest polymorph listed for this composition = 281 meV per atom
calculated density = 6.5 Mg/m³
D(E_F) = 2.3 states/eV/f.u.
space-group type = Fm-3m

Cell and atoms, written as POSCAR:
```
GeAs2I
1.0
4.7491 -1.6151 -0.1993
1.9648 -2.5039 3.8823
0.9667 -4.9092 -0.4096
As Ge I
2 1 1
direct
0.7500 0.7500 0.7500
0.2500 0.2500 0.2500
0.0000 0.0000 0.0000
0.5000 0.5000 0.5000
```


The following is a GGA-PBE calculation of a relaxed structure of GeAs3I, from Alexandria via LeMat-Bulk.

Calculated values
calculated total energy = -3.80 eV/atom
V = 25.80 A^3/atom
M_tot = 0.00 μB per formula unit
energy relative to the lowest polymorph listed for this composition = 0 meV per atom
calculated density = 5.5 Mg/m³
D(E_F) = 2.3 states/eV/f.u.
space-group type = P2_1/m

Cell and atoms, written as POSCAR:
```
GeAs3I
1.0
7.6448 0.0008 -0.0002
0.0000 5.8571 -0.9028
0.0006 -3.7318 6.3374
As Ge I
6 2 2
direct
0.2500 0.7771 0.1160
0.7500 0.2325 0.3474
0.2500 0.7675 0.6526
0.7501 0.5809 0.7949
0.2499 0.4191 0.2051
0.7500 0.2229 0.8840
0.0000 0.0000 0.0000
0.5000 0.0000 0.0000
0.2500 0.2516 0.6252
0.7500 0.7484 0.3748
```


The following is a GGA-PBE calculation of a relaxed structure of GeAs2I, from Alexandria via LeMat-Bulk.

Calculated values
calculated total energy = -3.49 eV/atom
V = 29.90 A^3/atom
M_tot = 0.00 μB per formula unit
energy relative to the lowest polymorph listed for this composition = 0 meV per atom
calculated density = 4.9 Mg/m³
D(E_F) = 3.8 states/eV/f.u.
space-group type = I-42d

Cell and atoms, written as POSCAR:
```
GeAs2I
1.0
7.0729 0.0000 0.0000
0.0000 7.0729 0.0000
3.5365 3.5365 4.7818
As I Ge
4 2 2
direct
0.8750 0.8134 0.7500
0.5634 0.1250 0.2500
0.1866 0.6250 0.2500
0.3750 0.4366 0.7500
0.7500 0.2500 0.5000
0.0000 0.0000 0.0000
0.2500 0.7500 0.5000
0.5000 0.5000 0.0000
```


The following is a GGA-PBE calculation of a relaxed structure of GeAs3I, from Alexandria via LeMat-Bulk.

Calculated values
calculated total energy = -2.67 eV/atom
V = 30.34 A^3/atom
M_tot = 0.00 μB per formula unit
energy relative to the lowest polymorph listed for this composition = 1135 meV per atom
calculated density = 4.6 Mg/m³
D(E_F) = 4.1 states/eV/f.u.
space-group type = Pm-3m

Cell and atoms, written as POSCAR:
```
GeAs3I
1.0
-5.0335 -1.6179 -0.7008
0.8798 -0.4674 -5.2395
1.5280 -5.0606 0.7080
Ge As I
1 3 1
direct
0.5000 0.5000 0.5000
0.0000 0.0000 0.5000
0.5000 0.0000 0.0000
0.0000 0.5000 0.0000
0.0000 0.0000 0.0000
```


The following is a GGA-PBE calculation of a relaxed structure of GeAs3I, from Alexandria via LeMat-Bulk.

Calculated values
calculated total energy = -3.25 eV/atom
V = 25.67 A^3/atom
M_tot = 0.00 μB per formula unit
energy relative to the lowest polymorph listed for this composition = 556 meV per atom
calculated density = 5.5 Mg/m³
D(E_F) = 5.5 states/eV/f.u.
space-group type = Pm-3m

Cell and atoms, written as POSCAR:
```
GeAs3I
1.0
5.0446 0.0000 0.0000
0.0000 5.0446 0.0000
0.0000 0.0000 5.0446
I As Ge
1 3 1
direct
0.5000 0.5000 0.5000
0.0000 0.0000 0.5000
0.5000 0.0000 0.0000
0.0000 0.5000 0.0000
0.0000 0.0000 0.0000
```


The following is a GGA-PBE calculation of a relaxed structure of Ge2AsI, from Alexandria via LeMat-Bulk.

Calculated values
calculated total energy = -3.72 eV/atom
V = 31.27 A^3/atom
M_tot = 0.00 μB per formula unit
energy relative to the lowest polymorph listed for this composition = 0 meV per atom
calculated density = 4.6 Mg/m³
D(E_F) = 0.6 states/eV/f.u.
space-group type = R-3m

Cell and atoms, written as POSCAR:
```
Ge2AsI
1.0
-2.6290 -1.0340 3.1381
-3.3768 -2.4110 -0.7828
2.3923 -7.7877 2.2787
Ge I As
2 1 1
direct
0.1162 0.1162 0.6514
0.8838 0.8838 0.3486
0.0000 0.0000 0.0000
0.5000 0.5000 0.5000
```


The following is a GGA-PBE calculation of a relaxed structure of GeAsIrI2, from Alexandria via LeMat-Bulk.

Calculated values
calculated total energy = -3.58 eV/atom
V = 28.31 A^3/atom
M_tot = 0.00 μB per formula unit
calculated density = 7.0 Mg/m³
D(E_F) = 5.2 states/eV/f.u.
space-group type = P4/mmm

Cell and atoms, written as POSCAR:
```
GeAsIrI2
1.0
-2.9804 -0.6817 4.5636
-2.0591 -3.7597 -1.9064
3.9342 -3.2141 2.0893
As Ge I Ir
1 1 2 1
direct
0.5000 0.5000 0.5000
0.0000 0.5000 0.0000
0.5000 0.0000 0.0000
0.0000 0.0000 0.5000
0.0000 0.0000 0.0000
```


The following is a GGA-PBE calculation of a relaxed structure of La6GeAs2I3, from Alexandria via LeMat-Bulk.

Calculated values
calculated total energy = -5.32 eV/atom
V = 32.98 A^3/atom
M_tot = 0.00 μB per formula unit
calculated density = 6.0 Mg/m³
D(E_F) = 6.1 states/eV/f.u.
space-group type = C2/m

Cell and atoms, written as POSCAR:
```
La6GeAs2I3
1.0
-4.2788 1.5923 6.1592
2.6693 -7.1055 -1.0795
6.9567 3.6430 2.3001
Ge La As I
1 6 2 3
direct
0.0000 0.0000 0.0000
0.9330 0.5999 0.7993
0.0670 0.4001 0.2007
0.4001 0.0670 0.2007
0.5999 0.9330 0.7993
0.2663 0.2663 0.7993
0.7337 0.7337 0.2007
0.6667 0.3333 0.0000
0.3333 0.6667 0.0000
0.8337 0.1663 0.5000
0.5000 0.5000 0.5000
0.1663 0.8337 0.5000
```